No. 1
5
Lattice="6.560 0.000 0.000 0.000 6.560 0.000 0.000 0.000 6.178" Properties=species:S:1:pos:R:3 comment="Ba2NaSrSi PBE relaxed" rho_g_cm3=2.581 space_group="P4/mmm, No. 123" raw_formation_energy_ev_per_atom=-0.09 pbc="T T T"
Ba 0.000 3.280 0.000
Ba 3.280 0.000 0.000
Na 0.000 0.000 3.089
Sr 3.280 3.280 3.089
Si 3.280 3.280 0.000

=====

No. 2
16
Lattice="7.157 0.000 0.000 0.000 5.024 0.000 -2.196 0.000 11.671" Properties=species:S:1:pos:R:3 comment="CuTe2P PBE relaxed" rho_g_cm3=5.536 space_group="P2_1/c, No. 14" raw_formation_energy_ev_per_atom=0.11 pbc="T T T"
Cu 0.731 0.204 2.344
Cu -0.367 2.308 8.179
Cu 5.327 2.716 3.491
Cu 4.229 4.820 9.327
Te 0.210 0.606 6.252
Te 1.308 1.906 0.417
Te 2.009 3.435 3.801
Te 0.910 4.102 9.637
Te 4.050 0.923 2.034
Te 2.952 1.589 7.869
Te 3.652 3.118 11.254
Te 4.750 4.418 5.419
P -0.923 0.770 9.805
P 0.175 1.742 3.969
P 4.785 3.282 7.701
P 5.883 4.254 1.866

=====

No. 3
12
Lattice="5.353 0.000 0.000 -2.676 4.636 0.000 0.000 0.000 8.770" Properties=species:S:1:pos:R:3 comment="NdDy3Rh8 PBE relaxed" rho_g_cm3=11.103 space_group="P3m1, No. 156" delta_e_f_mev_per_atom=-692 pbc="T T T"
Nd 0.000 0.000 0.000
Dy 0.000 0.000 3.218
Dy 2.676 1.545 4.371
Dy 2.676 1.545 7.575
Rh 0.000 1.528 5.965
Rh -1.353 3.872 5.965
Rh 0.000 3.090 3.793
Rh 0.000 3.090 8.171
Rh 2.676 0.019 1.627
Rh 1.355 2.308 1.627
Rh 1.353 3.872 5.965
Rh 3.998 2.308 1.627

=====

No. 4
9
Lattice="10.011 -1.744 0.000 10.011 1.744 0.000 -1.901 0.000 8.411" Properties=species:S:1:pos:R:3 comment="Pr5Ho2Sc2 PBE relaxed" rho_g_cm3=6.355 relative_energy_ev_per_atom=0.007 space_group="C2/m, No. 12" delta_e_f_mev_per_atom=114 pbc="T T T"
Pr 0.000 0.000 0.000
Pr 3.122 0.000 5.425
Pr 6.741 0.000 0.118
Pr 11.380 0.000 8.293
Pr 15.000 0.000 2.986
Ho -0.165 0.000 5.554
Ho 18.287 0.000 2.858
Sc 6.860 0.000 5.461
Sc 11.261 0.000 2.950

=====

No. 5
10
Lattice="4.845 0.000 0.000 0.000 6.139 0.000 0.000 0.000 11.035" Properties=species:S:1:pos:R:3 comment="K2Ag2Pb PBE relaxed" rho_g_cm3=5.071 relative_energy_ev_per_atom=0.000 space_group="Immm, No. 71" delta_e_f_mev_per_atom=-40 pbc="T T T"
K 0.000 0.000 2.232
K 0.000 0.000 8.802
K 2.422 3.070 3.285
K 2.422 3.070 7.750
Ag 0.000 1.632 5.517
Ag 0.000 4.508 5.517
Ag 2.422 1.438 0.000
Ag 2.422 4.701 0.000
Pb 0.000 3.070 0.000
Pb 2.422 0.000 5.517

=====

No. 6
5
Lattice="4.233 0.000 0.000 0.000 4.233 0.000 0.000 0.000 5.208" Properties=species:S:1:pos:R:3 comment="SnGeC2Cl PBE relaxed" rho_g_cm3=4.464 space_group="P4/mmm, No. 123" raw_formation_energy_ev_per_atom=2.54 pbc="T T T"
Sn 0.000 0.000 0.000
Ge 2.116 2.116 0.000
C 0.000 2.116 2.604
C 2.116 0.000 2.604
Cl 0.000 0.000 2.604

=====

No. 7
80
Lattice="-7.912 7.912 7.912 7.912 -7.912 7.912 7.912 7.912 -7.912" Properties=species:S:1:pos:R:3 comment="Ba3Ga5S12 PBE relaxed" rho_g_cm3=3.840 space_group="Ia-3d, No. 230" raw_formation_energy_ev_per_atom=-0.85 pbc="T T T"
Ba 3.956 1.978 0.000
Ba 7.912 3.956 -1.978
Ba 1.978 0.000 3.956
Ba 9.890 0.000 3.956
Ba 0.000 3.956 1.978
Ba 3.956 -1.978 7.912
Ba 3.956 9.890 0.000
Ba 7.912 3.956 5.934
Ba -1.978 7.912 3.956
Ba 5.934 7.912 3.956
Ba 0.000 3.956 9.890
Ba 3.956 5.934 7.912
Ga 0.000 0.000 0.000
Ga 3.956 3.956 -3.956
Ga 3.956 -3.956 3.956
Ga 7.912 0.000 0.000
Ga 11.868 1.978 0.000
Ga 7.912 -3.956 5.934
Ga 5.934 7.912 -3.956
Ga 5.934 0.000 3.956
Ga 3.956 5.934 0.000
Ga 7.912 3.956 1.978
Ga -3.956 3.956 3.956
Ga 0.000 7.912 0.000
Ga 0.000 0.000 7.912
Ga 3.956 3.956 3.956
Ga 0.000 3.956 5.934
Ga 3.956 1.978 7.912
Ga 1.978 7.912 3.956
Ga 1.978 0.000 11.868
Ga 0.000 11.868 1.978
Ga -3.956 5.934 7.912
S 2.294 -0.588 0.837
S 9.573 4.793 -4.544
S 10.206 0.588 0.837
S 9.573 -3.119 4.544
S 7.324 -0.837 2.294
S 12.455 -1.662 3.119
S 0.837 2.294 -0.588
S 11.031 3.368 -1.662
S 4.793 4.544 -1.662
S 7.075 2.294 0.588
S -0.588 0.837 2.294
S 4.544 -1.662 4.793
S 7.324 7.075 -2.294
S 4.544 1.662 3.119
S 4.793 -4.544 9.573
S 7.075 -2.294 7.324
S 3.119 4.544 1.662
S 8.749 5.618 0.588
S 4.544 9.573 -3.119
S 7.324 0.837 5.618
S 2.294 7.324 -0.837
S 9.573 3.119 3.368
S 1.662 3.119 4.544
S 2.294 0.588 7.075
S 5.618 7.324 0.837
S 6.250 4.793 3.368
S -1.662 4.793 4.544
S 5.618 0.588 8.749
S 0.588 7.075 2.294
S 3.368 -1.662 11.031
S -0.837 2.294 7.324
S 4.793 3.368 6.250
S 0.837 10.206 0.588
S 3.119 12.455 -1.662
S 3.368 6.250 4.793
S 0.588 0.837 10.206
S 3.368 9.573 3.119
S 8.499 7.075 5.618
S 0.837 5.618 7.324
S 3.119 3.368 9.573
S -3.119 4.544 9.573
S 7.075 5.618 8.499
S -4.544 9.573 4.793
S 0.588 8.749 5.618
S -1.662 11.031 3.368
S -2.294 7.324 7.075
S -1.662 3.119 12.455
S 5.618 8.499 7.075

=====

No. 8
20
Lattice="5.845 0.000 0.000 0.000 5.937 0.000 -5.813 0.000 8.306" Properties=species:S:1:pos:R:3 comment="Sr2CaTeO6 PBE relaxed" rho_g_cm3=5.057 space_group="P2_1/c, No. 14" raw_formation_energy_ev_per_atom=-2.39 pbc="T T T"
Sr -0.048 0.232 2.082
Sr -2.954 2.737 6.235
Sr 2.986 3.200 2.071
Sr 0.079 5.705 6.224
Ca 2.923 0.000 0.000
Ca 0.016 2.968 4.153
Te -2.907 0.000 4.153
Te 0.000 2.968 0.000
O -4.721 1.386 7.918
O -1.814 1.582 3.765
O -4.255 4.106 7.981
O -1.349 4.799 3.828
O -2.429 0.157 6.045
O 0.478 2.811 1.892
O -0.446 3.126 6.414
O 2.461 5.779 2.261
O 1.380 1.138 4.478
O 4.287 1.830 0.325
O 1.845 4.354 4.541
O 4.752 4.551 0.388

=====

No. 9
20
Lattice="3.606 0.000 0.000 0.000 17.750 0.000 0.000 0.000 11.160" Properties=species:S:1:pos:R:3 comment="La3YEr PBE relaxed" rho_g_cm3=6.258 relative_energy_ev_per_atom=0.095 space_group="Pbcm, No. 57" delta_e_f_mev_per_atom=148 pbc="T T T"
La 0.815 4.437 0.000
La 0.815 4.437 5.580
La 0.953 10.209 0.655
La 0.953 10.209 4.925
La 0.953 16.415 6.235
La 0.953 16.415 10.505
La 2.653 1.334 0.655
La 2.653 1.334 4.925
La 2.653 7.540 6.235
La 2.653 7.540 10.505
La 2.790 13.312 0.000
La 2.790 13.312 5.580
Y 0.771 1.825 8.370
Y 0.771 7.050 2.790
Y 2.835 10.700 8.370
Y 2.835 15.925 2.790
Er 1.023 12.886 2.790
Er 1.023 13.739 8.370
Er 2.583 4.011 2.790
Er 2.583 4.864 8.370

=====

No. 10
8
Lattice="4.049 0.000 0.000 0.000 4.049 0.000 0.000 0.000 7.917" Properties=species:S:1:pos:R:3 comment="SnPd6Au PBE relaxed" rho_g_cm3=12.206 relative_energy_ev_per_atom=0.000 space_group="P4/mmm, No. 123" delta_e_f_mev_per_atom=-265 pbc="T T T"
Sn 0.000 0.000 0.000
Pd 0.000 2.025 1.962
Pd 0.000 2.025 5.955
Pd 2.025 0.000 1.962
Pd 2.025 0.000 5.955
Pd 2.025 2.025 0.000
Pd 2.025 2.025 3.959
Au 0.000 0.000 3.959

=====

No. 11
12
Lattice="4.115 -7.147 0.000 4.115 7.147 0.000 -2.778 0.000 9.016" Properties=species:S:1:pos:R:3 comment="Cs3Ac2MgTe6 PBE relaxed" rho_g_cm3=5.143 space_group="C2/m, No. 12" raw_formation_energy_ev_per_atom=-1.19 pbc="T T T"
Cs 0.000 0.000 0.000
Cs 4.115 2.452 0.000
Cs 4.115 -2.452 0.000
Ac 2.726 4.776 4.508
Ac 2.726 -4.776 4.508
Mg 2.726 0.000 4.508
Te 1.451 2.230 2.757
Te 0.152 0.000 6.285
Te 1.451 -2.230 2.757
Te 4.001 2.230 6.259
Te 5.299 0.000 2.731
Te 4.001 -2.230 6.259

=====

No. 12
5
Lattice="5.071 0.000 0.000 0.000 5.071 0.000 0.000 0.000 5.182" Properties=species:S:1:pos:R:3 comment="RbZn2RhPb PBE relaxed" rho_g_cm3=6.559 space_group="P4/mmm, No. 123" delta_e_f_mev_per_atom=-76 pbc="T T T"
Rb 0.000 0.000 0.000
Zn 0.000 2.536 2.591
Zn 2.536 0.000 2.591
Rh 2.536 2.536 2.591
Pb 2.536 2.536 0.000

=====

Please write out number 11 again, unchanged.
12
Lattice="4.115 -7.147 0.000 4.115 7.147 0.000 -2.778 0.000 9.016" Properties=species:S:1:pos:R:3 comment="Cs3Ac2MgTe6 PBE relaxed" rho_g_cm3=5.143 space_group="C2/m, No. 12" raw_formation_energy_ev_per_atom=-1.19 pbc="T T T"
Cs 0.000 0.000 0.000
Cs 4.115 2.452 0.000
Cs 4.115 -2.452 0.000
Ac 2.726 4.776 4.508
Ac 2.726 -4.776 4.508
Mg 2.726 0.000 4.508
Te 1.451 2.230 2.757
Te 0.152 0.000 6.285
Te 1.451 -2.230 2.757
Te 4.001 2.230 6.259
Te 5.299 0.000 2.731
Te 4.001 -2.230 6.259

=====

Q: Which formula does entry 9 have?
A: La3YEr